12
Lattice="3.292 0.000 0.000 -1.646 2.851 0.000 0.000 0.000 24.332" Properties=species:S:1:pos:R:3 comment="FePbF2 | the Alexandria database | PBE with a Hubbard U | optimized geometry" dos_ef_per_ev_cell=11.073 de_polymorph_ev_per_atom=0.000 magmom_total_mub_per_fu=3.88 e_tot_ev_per_atom=-4.694 pbc="T T T"
Fe 0.000 0.000 0.000
Fe 0.000 1.901 16.221
Fe 1.646 0.950 8.111
Pb 0.000 0.000 12.166
Pb 0.000 1.901 4.055
Pb 1.646 0.950 20.276
F 0.000 0.000 9.134
F 0.000 0.000 15.198
F 0.000 1.901 1.023
F 0.000 1.901 7.088
F 1.646 0.950 17.244
F 1.646 0.950 23.309